Record 1
## SrMoRuN2 (PBE)

Data for a geometry-optimized SrMoRuN2 structure. Values from VASP.

final energy = -0.4705 Ry per atom
ΔE_f (raw) = 1287 meV/atom
total magnetic moment = 1.2 Bohr magnetons per cell
space-group type = P4/mmm (123)

Structure (Quantum ESPRESSO input):
```
&SYSTEM
  ibrav = 0, nat = 5, ntyp = 4
/
ATOMIC_SPECIES
Sr 87.62 Sr.upf
Mo 95.94 Mo.upf
Ru 101.07 Ru.upf
N 14.01 N.upf
ATOMIC_POSITIONS crystal
Sr 0.0000 0.0000 0.0000
Mo 0.5000 0.5000 0.0000
Ru 0.5000 0.5000 0.5000
N 0.0000 0.5000 0.5000
N 0.5000 0.0000 0.5000
CELL_PARAMETERS angstrom
4.0590 0.0000 0.0000
0.0000 4.0590 0.0000
0.0000 0.0000 4.8926
```

***

Record 2
## CaHo2Mg (PBE)

Data for a geometry-optimized CaHo2Mg structure. Values from VASP.

DFT formation energy = 0.106 eV per atom
final energy = -0.2265 Ry per atom
energy relative to the lowest polymorph listed for this composition = 67 meV per atom
total magnetic moment = 0.0 Bohr magnetons per cell
space-group type = P4/mmm (123)

Structure (Quantum ESPRESSO input):
```
&SYSTEM
  ibrav = 0, nat = 4, ntyp = 3
/
ATOMIC_SPECIES
Ca 40.08 Ca.upf
Ho 164.93 Ho.upf
Mg 24.30 Mg.upf
ATOMIC_POSITIONS crystal
Ca 0.0000 0.0000 0.0000
Ho 0.0000 0.5000 0.5000
Ho 0.5000 0.0000 0.5000
Mg 0.5000 0.5000 0.0000
CELL_PARAMETERS angstrom
5.0441 0.0000 0.0000
0.0000 5.0441 0.0000
0.0000 0.0000 4.8802
```

***

Record 3
## ZrHOsRh2 (PBE)

Data for a geometry-optimized ZrHOsRh2 structure. Values from VASP.

final energy = -0.5845 Ry per atom
energy relative to the lowest polymorph listed for this composition = 0 meV per atom
total magnetic moment = 0.0 Bohr magnetons per cell
space-group type = P4/mmm (123)

Structure (Quantum ESPRESSO input):
```
&SYSTEM
  ibrav = 0, nat = 5, ntyp = 4
/
ATOMIC_SPECIES
Zr 91.22 Zr.upf
H 1.01 H.upf
Os 190.23 Os.upf
Rh 102.91 Rh.upf
ATOMIC_POSITIONS crystal
Zr 0.0000 0.0000 0.0000
H 0.5000 0.5000 0.5000
Os 0.5000 0.5000 0.0000
Rh 0.0000 0.5000 0.5000
Rh 0.5000 0.0000 0.5000
CELL_PARAMETERS angstrom
4.0043 0.0000 0.0000
0.0000 4.0043 0.0000
0.0000 0.0000 4.0405
```

***

Record 4
## AlFeNi4 (PBE)

Data for a geometry-optimized AlFeNi4 structure. Values from VASP.

DFT formation energy = -0.097 eV per atom
final energy = -0.4399 Ry per atom
energy relative to the lowest polymorph listed for this composition = 141 meV per atom
total magnetic moment = 4.8 Bohr magnetons per cell
space-group type = F-43m (216)

Structure (Quantum ESPRESSO input):
```
&SYSTEM
  ibrav = 0, nat = 6, ntyp = 3
/
ATOMIC_SPECIES
Al 26.98 Al.upf
Fe 55.84 Fe.upf
Ni 58.69 Ni.upf
ATOMIC_POSITIONS crystal
Al 0.0000 0.0000 0.0000
Fe 0.7500 0.7500 0.7500
Ni 0.3750 0.3750 0.3750
Ni 0.3750 0.3750 0.8751
Ni 0.3750 0.8751 0.3750
Ni 0.8751 0.3750 0.3750
CELL_PARAMETERS angstrom
0.0000 3.2986 3.2986
3.2986 0.0000 3.2986
3.2986 3.2986 0.0000
```

***

Record 5
## PuBe4Tc (PBE)

Data for a geometry-optimized PuBe4Tc structure. Values from VASP.

DFT formation energy = 0.048 eV per atom
final energy = -0.4816 Ry per atom
total magnetic moment = 4.1 Bohr magnetons per cell
space-group type = F-43m (216)

Structure (Quantum ESPRESSO input):
```
&SYSTEM
  ibrav = 0, nat = 6, ntyp = 3
/
ATOMIC_SPECIES
Pu 244.00 Pu.upf
Be 9.01 Be.upf
Tc 98.00 Tc.upf
ATOMIC_POSITIONS crystal
Pu 0.0000 0.0000 0.0000
Be 0.1305 0.6232 0.6232
Be 0.6232 0.1305 0.6232
Be 0.6232 0.6232 0.1305
Be 0.6232 0.6232 0.6232
Tc 0.2500 0.2500 0.2500
CELL_PARAMETERS angstrom
0.0000 3.3057 3.3057
3.3057 0.0000 3.3057
3.3057 3.3057 0.0000
```

***

Record 6
## Dy8Sn2Ir (PBE)

Data for a geometry-optimized Dy8Sn2Ir structure. Values from VASP.

DFT formation energy = -0.474 eV per atom
final energy = -0.3936 Ry per atom
total magnetic moment = 0.0 Bohr magnetons per cell
space-group type = C2/m (12)

Structure (Quantum ESPRESSO input):
```
&SYSTEM
  ibrav = 0, nat = 11, ntyp = 3
/
ATOMIC_SPECIES
Dy 162.50 Dy.upf
Sn 118.71 Sn.upf
Ir 192.22 Ir.upf
ATOMIC_POSITIONS crystal
Dy 0.0208 0.0208 0.2873
Dy 0.2188 0.2188 0.8211
Dy 0.3543 0.3543 0.5014
Dy 0.4107 0.4107 0.0453
Dy 0.5893 0.5893 0.9547
Dy 0.6457 0.6457 0.4986
Dy 0.7812 0.7812 0.1789
Dy 0.9792 0.9792 0.7127
Sn 0.1814 0.1814 0.2553
Sn 0.8186 0.8186 0.7447
Ir 0.5000 0.5000 0.5000
CELL_PARAMETERS angstrom
9.6717 -2.4911 0.0000
9.6717 2.4911 0.0000
-1.8002 0.0000 6.4063
```

***

Record 7
## AcHO (PBE)

Data for a geometry-optimized AcHO structure. Values from VASP.

final energy = -0.4626 Ry per atom
energy relative to the lowest polymorph listed for this composition = 0 meV per atom
total magnetic moment = 0.0 Bohr magnetons per cell
space-group type = F-43m (216)

Structure (Quantum ESPRESSO input):
```
&SYSTEM
  ibrav = 0, nat = 3, ntyp = 3
/
ATOMIC_SPECIES
Ac 227.00 Ac.upf
H 1.01 H.upf
O 16.00 O.upf
ATOMIC_POSITIONS crystal
Ac 0.0000 0.0000 0.0000
H 0.2500 0.2500 0.2500
O 0.7500 0.7500 0.7500
CELL_PARAMETERS angstrom
0.0000 2.9564 2.9564
2.9564 0.0000 2.9564
2.9564 2.9564 0.0000
```

***

Record 8
## TbPr3Dy3 (PBE)

Data for a geometry-optimized TbPr3Dy3 structure. Values from VASP.

DFT formation energy = 0.252 eV per atom
final energy = -0.3256 Ry per atom
total magnetic moment = 0.0 Bohr magnetons per cell
space-group type = R-3 (148)

Structure (Quantum ESPRESSO input):
```
&SYSTEM
  ibrav = 0, nat = 14, ntyp = 3
/
ATOMIC_SPECIES
Tb 158.93 Tb.upf
Pr 140.91 Pr.upf
Dy 162.50 Dy.upf
ATOMIC_POSITIONS crystal
Tb 0.1498 0.1498 0.1498
Tb 0.8502 0.8502 0.8502
Pr 0.2030 0.6821 0.4374
Pr 0.3179 0.5626 0.7970
Pr 0.4374 0.2030 0.6821
Pr 0.5626 0.7970 0.3179
Pr 0.6821 0.4374 0.2030
Pr 0.7970 0.3179 0.5626
Dy 0.0708 0.5622 0.2265
Dy 0.2265 0.0708 0.5622
Dy 0.4378 0.7735 0.9292
Dy 0.5622 0.2265 0.0708
Dy 0.7735 0.9292 0.4378
Dy 0.9292 0.4378 0.7735
CELL_PARAMETERS angstrom
4.3814 2.5296 7.2979
-4.3814 2.5296 7.2979
0.0000 -5.0592 7.2979
```

***

Record 9
## NbVCo4 (PBE)

Data for a geometry-optimized NbVCo4 structure. Values from VASP.

DFT formation energy = 0.073 eV per atom
final energy = -0.5779 Ry per atom
energy relative to the lowest polymorph listed for this composition = 167 meV per atom
total magnetic moment = 1.6 Bohr magnetons per cell
space-group type = Pmma (51)

Structure (Quantum ESPRESSO input):
```
&SYSTEM
  ibrav = 0, nat = 12, ntyp = 3
/
ATOMIC_SPECIES
Nb 92.91 Nb.upf
V 50.94 V.upf
Co 58.93 Co.upf
ATOMIC_POSITIONS crystal
Nb 0.2500 0.0000 0.1579
Nb 0.7500 0.0000 0.8421
V 0.2500 0.0000 0.7354
V 0.7500 0.0000 0.2646
Co 0.0000 0.0000 0.5000
Co 0.0451 0.5000 0.8077
Co 0.2500 0.5000 0.4508
Co 0.4549 0.5000 0.8077
Co 0.5000 0.0000 0.5000
Co 0.5451 0.5000 0.1923
Co 0.7500 0.5000 0.5492
Co 0.9549 0.5000 0.1923
CELL_PARAMETERS angstrom
6.8315 0.0000 0.0000
0.0000 3.5912 0.0000
0.0000 0.0000 6.1206
```

***

Record 10
## CsCu4Hg3I12 (PBE)

Data for a geometry-optimized CsCu4Hg3I12 structure. Values from VASP.

final energy = -0.1544 Ry per atom
ΔE_f (raw) = -263 meV/atom
total magnetic moment = 0.0 Bohr magnetons per cell
space-group type = R32 (155)

Structure (Quantum ESPRESSO input):
```
&SYSTEM
  ibrav = 0, nat = 20, ntyp = 4
/
ATOMIC_SPECIES
Cs 132.91 Cs.upf
Cu 63.55 Cu.upf
Hg 200.59 Hg.upf
I 126.90 I.upf
ATOMIC_POSITIONS crystal
Cs 0.0000 0.0000 0.0000
Cu 0.0736 0.5000 0.9264
Cu 0.5000 0.5000 0.5000
Cu 0.5000 0.9264 0.0736
Cu 0.9264 0.0736 0.5000
Hg 0.0000 0.5604 0.4396
Hg 0.4396 0.0000 0.5604
Hg 0.5604 0.4396 0.0000
I 0.0027 0.6316 0.7526
I 0.0893 0.9107 0.5000
I 0.2474 0.3684 0.9973
I 0.3396 0.6604 0.5000
I 0.3684 0.9973 0.2474
I 0.5000 0.0893 0.9107
I 0.5000 0.3396 0.6604
I 0.6316 0.7526 0.0027
I 0.6604 0.5000 0.3396
I 0.7526 0.0027 0.6316
I 0.9107 0.5000 0.0893
I 0.9973 0.2474 0.3684
CELL_PARAMETERS angstrom
7.8706 4.5441 3.9991
-7.8706 4.5441 3.9991
0.0000 -9.0882 3.9991
```

***

Record 11
## La6NdHo2Sc (PBE)

Data for a geometry-optimized La6NdHo2Sc structure. Values from VASP.

DFT formation energy = 0.213 eV per atom
final energy = -0.3505 Ry per atom
total magnetic moment = 0.0 Bohr magnetons per cell
space-group type = C2/m (12)

Structure (Quantum ESPRESSO input):
```
&SYSTEM
  ibrav = 0, nat = 10, ntyp = 4
/
ATOMIC_SPECIES
La 138.91 La.upf
Nd 144.24 Nd.upf
Ho 164.93 Ho.upf
Sc 44.96 Sc.upf
ATOMIC_POSITIONS crystal
La 0.0961 0.5823 0.1971
La 0.1361 0.1361 0.4041
La 0.4177 0.9039 0.8029
La 0.5823 0.0961 0.1971
La 0.8639 0.8639 0.5959
La 0.9039 0.4177 0.8029
Nd 0.5000 0.5000 0.5000
Ho 0.4042 0.4042 0.8382
Ho 0.5958 0.5958 0.1618
Sc 0.0000 0.0000 0.0000
CELL_PARAMETERS angstrom
5.8042 -3.5089 0.0000
5.8042 3.5089 0.0000
-2.1775 0.0000 8.6182
```

***

> Look up the final energy of the fourth one.

-0.4399 Ry per atom